Density functional theory data (PBE-GGA) for a relaxed Rb3CeY2Se6 crystal.

Values from the calculation:
* total energy: -63.3 eV/f.u.
* space group: No. 12
* magnetic moment: 1.02 Bohr magnetons per cell
* raw formation energy: -1.7153 eV per atom
* calculated density: 4.52 Mg/m³

```
Rb3CeY2Se6
1.0
7.460 -0.001 0.000
-3.729 6.461 0.000
-1.244 -2.155 7.998
Se Y Rb Ce
6 2 3 1
direct
0.407 0.066 0.197
0.934 0.593 0.803
0.593 0.934 0.803
0.724 0.724 0.197
0.276 0.276 0.803
0.066 0.407 0.197
0.333 0.667 0.000
0.667 0.333 0.000
0.835 0.165 0.500
0.500 0.500 0.500
0.165 0.835 0.500
0.000 0.000 0.000
```

=====

Density functional theory data (PBE-GGA) for a relaxed VNi2Ge crystal.

Values from the calculation:
* total energy: -25.7 eV/f.u.
* space group: No. 123
* magnetic moment: 0.00 Bohr magnetons per cell
* formation energy from the elements: -0.098 eV/atom
* calculated density: 8.05 Mg/m³

```
VNi2Ge
1.0
-2.549 0.782 0.516
0.279 -0.794 2.582
2.221 6.148 1.651
Ni V Ge
2 1 1
direct
0.000 0.000 0.756
0.000 0.000 0.244
0.500 0.500 0.500
0.500 0.500 0.000
```

=====

Density functional theory data (PBE-GGA) for a relaxed Sr2GaSiAs crystal.

Values from the calculation:
* total energy: -19.6 eV/f.u.
* space group: No. 11
* magnetic moment: 0.00 Bohr magnetons per cell
* raw formation energy: -0.6207 eV per atom
* calculated density: 3.91 Mg/m³

```
Sr2GaSiAs
1.0
-2.107 0.679 -3.639
-6.604 0.139 3.849
3.390 8.906 -0.300
As Sr Si Ga
2 4 2 2
direct
0.750 0.176 0.177
0.250 0.824 0.823
0.250 0.181 0.406
0.750 0.819 0.594
0.250 0.235 0.963
0.750 0.765 0.037
0.750 0.312 0.699
0.250 0.688 0.301
0.250 0.493 0.732
0.750 0.507 0.268
```

=====

Density functional theory data (PBE-GGA) for a relaxed Zn2FeNi crystal.

Values from the calculation:
* total energy: -16.9 eV/f.u.
* space group: No. 216
* magnetic moment: 3.24 Bohr magnetons per cell
* formation energy from the elements: -0.015 eV/atom
* calculated density: 8.05 Mg/m³

```
Zn2FeNi
1.0
-1.241 -3.891 -0.747
1.708 -3.160 2.083
-2.220 -2.053 2.845
Zn Fe Ni
2 1 1
direct
0.250 0.250 0.250
0.000 0.000 0.000
0.500 0.500 0.500
0.750 0.750 0.750
```

=====

Density functional theory data (PBE-GGA) for a relaxed LaSeS2 crystal.

Values from the calculation:
* total energy: -20.8 eV/f.u.
* space group: No. 166
* magnetic moment: 1.00 Bohr magnetons per cell
* raw formation energy: -1.0356 eV per atom
* calculated density: 3.63 Mg/m³

```
LaSeS2
1.0
-1.734 -1.713 7.730
-0.361 -5.495 5.947
2.572 -2.493 7.270
Se La S
1 1 2
direct
0.000 0.000 0.000
0.500 0.500 0.500
0.893 0.893 0.893
0.107 0.107 0.107
```

=====

Density functional theory data (PBE-GGA) for a relaxed SrBiO2 crystal.

Values from the calculation:
* total energy: -21.6 eV/f.u.
* space group: No. 122
* magnetic moment: 0.00 Bohr magnetons per cell
* raw formation energy: -1.5399 eV per atom
* calculated density: 6.18 Mg/m³

```
SrBiO2
1.0
-0.833 -4.456 2.979
5.323 -1.037 -0.063
2.933 0.479 6.474
Sr O Bi
2 4 2
direct
0.250 0.750 0.500
0.500 0.500 0.000
0.636 0.125 0.250
0.375 0.364 0.750
0.114 0.625 0.250
0.875 0.886 0.750
0.750 0.250 0.500
0.000 0.000 0.000
```

=====

Density functional theory data (PBE-GGA) for a relaxed Ba8BiN2 crystal.

Values from the calculation:
* total energy: -36.7 eV/f.u.
* space group: No. 123
* magnetic moment: 0.25 Bohr magnetons per cell
* raw formation energy: -0.0738 eV per atom
* calculated density: 5.18 Mg/m³

```
Ba8BiN2
1.0
-7.159 1.297 1.137
1.057 -0.539 7.268
1.461 7.751 0.362
Ba N Bi
8 2 1
direct
0.247 0.247 0.208
0.247 0.247 0.792
0.753 0.753 0.208
0.247 0.753 0.792
0.247 0.753 0.208
0.753 0.247 0.208
0.753 0.247 0.792
0.753 0.753 0.792
0.000 0.500 0.000
0.500 0.000 0.000
0.500 0.500 0.500
```

=====

Density functional theory data (PBE-GGA) for a relaxed AcLaN crystal.

Values from the calculation:
* total energy: -19.7 eV/f.u.
* space group: No. 11
* magnetic moment: 0.00 Bohr magnetons per cell
* raw formation energy: -0.7694 eV per atom
* calculated density: 6.78 Mg/m³

```
AcLaN
1.0
4.064 0.000 1.096
0.000 5.517 0.000
-0.069 0.000 8.282
N Ac La
2 2 2
direct
0.927 0.250 0.148
0.073 0.750 0.852
0.657 0.750 0.682
0.343 0.250 0.318
0.067 0.250 0.864
0.933 0.750 0.136
```

=====

Density functional theory data (PBE-GGA) for a relaxed BaCr2Cu crystal.

Values from the calculation:
* total energy: -22.8 eV/f.u.
* space group: No. 25
* magnetic moment: 0.06 Bohr magnetons per cell
* formation energy from the elements: 0.605 eV/atom
* calculated density: 5.49 Mg/m³

```
BaCr2Cu
1.0
3.403 0.000 0.000
0.000 3.933 -0.222
0.000 0.387 6.874
Cr Cu Ba
2 1 1
direct
0.000 0.875 0.194
0.500 0.375 0.149
0.000 0.375 0.435
0.500 0.875 0.722
```

=====

Density functional theory data (PBE-GGA) for a relaxed Pr6IrOs2Br3 crystal.

Values from the calculation:
* total energy: -74.4 eV/f.u.
* space group: No. 12
* magnetic moment: 0.00 Bohr magnetons per cell
* raw formation energy: -0.7801 eV per atom
* calculated density: 7.75 Mg/m³

```
Pr6IrOs2Br3
1.0
-4.942 -1.265 -5.114
7.020 -0.859 -1.469
-1.135 -6.802 4.482
Pr Os Br Ir
6 2 3 1
direct
0.728 0.728 0.197
0.403 0.066 0.197
0.597 0.934 0.803
0.934 0.597 0.803
0.066 0.403 0.197
0.272 0.272 0.803
0.333 0.667 0.000
0.667 0.333 0.000
0.832 0.168 0.500
0.168 0.832 0.500
0.500 0.500 0.500
0.000 0.000 0.000
```

=====

Density functional theory data (PBE-GGA) for a relaxed CePrAl2 crystal.

Values from the calculation:
* total energy: -19.6 eV/f.u.
* space group: No. 11
* magnetic moment: 1.02 Bohr magnetons per cell
* formation energy from the elements: -0.349 eV/atom
* calculated density: 5.41 Mg/m³

```
CePrAl2
1.0
-3.528 -0.191 2.978
0.618 -4.122 0.469
6.358 3.974 7.788
Ce Pr Al
2 2 4
direct
0.750 0.456 0.412
0.250 0.544 0.588
0.250 0.190 0.880
0.750 0.810 0.120
0.250 0.348 0.197
0.250 0.926 0.352
0.750 0.074 0.648
0.750 0.652 0.803
```

=====

Density functional theory data (PBE-GGA) for a relaxed Be2TlAgPd crystal.

Values from the calculation:
* total energy: -15.4 eV/f.u.
* space group: No. 123
* magnetic moment: 0.00 Bohr magnetons per cell
* formation energy from the elements: 0.499 eV/atom
* calculated density: 7.37 Mg/m³

```
Be2TlAgPd
1.0
4.371 0.000 0.000
0.000 5.149 0.000
0.000 0.000 4.371
Tl Pd Be Ag
1 1 2 1
direct
0.000 0.500 0.000
0.000 0.000 0.000
0.000 0.000 0.500
0.500 0.000 0.000
0.500 0.500 0.500
```